# CaVRu2 (GGA-PBE, relaxed)
# Uncorrected energy = -7.44 eV/atom
# Mass density = 7.3 g/cm3
# Crystal system = tetragonal
# N(E_F) = 3.8 states/eV per cell
# Spin magnetization = 0.00 μB per formula unit
# E_form = -0.1 eV/f.u.
data_CaVRu2
_chemical_formula_sum 'Ca1 V1 Ru2'
_symmetry_space_group_name_H-M 'P 1'
_symmetry_Int_Tables_number 1
_cell_length_a 3.079
_cell_length_b 3.079
_cell_length_c 6.999
_cell_angle_alpha 90.00
_cell_angle_beta 90.00
_cell_angle_gamma 90.00
loop_
_symmetry_equiv_pos_as_xyz
'x,y,z'
loop_
_atom_site_label
_atom_site_type_symbol
_atom_site_fract_x
_atom_site_fract_y
_atom_site_fract_z
_atom_site_occupancy
Ca1 Ca 0.500 0.500 0.500 1
Ru1 Ru 0.000 0.000 0.801 1
V1 V 0.500 0.500 0.000 1
Ru2 Ru 0.000 0.000 0.199 1

=====

# YMn2P (GGA-PBE, relaxed)
# Uncorrected energy = -7.46 eV/atom
# Mass density = 5.6 g/cm3
# Crystal system = cubic
# N(E_F) = 5.6 states/eV per cell
# Spin magnetization = 6.66 μB per formula unit
# E_form = 0.4 eV/f.u.
data_YMn2P
_chemical_formula_sum 'Y1 Mn2 P1'
_symmetry_space_group_name_H-M 'P 1'
_symmetry_Int_Tables_number 1
_cell_length_a 4.582
_cell_length_b 4.582
_cell_length_c 4.582
_cell_angle_alpha 60.00
_cell_angle_beta 60.00
_cell_angle_gamma 60.00
loop_
_symmetry_equiv_pos_as_xyz
'x,y,z'
loop_
_atom_site_label
_atom_site_type_symbol
_atom_site_fract_x
_atom_site_fract_y
_atom_site_fract_z
_atom_site_occupancy
P1 P 0.500 0.500 0.500 1
Mn1 Mn 0.000 0.000 0.000 1
Mn2 Mn 0.750 0.750 0.750 1
Y1 Y 0.250 0.250 0.250 1

=====

# Tm3Ge13Rh4 (GGA-PBE, relaxed)
# Uncorrected energy = -5.67 eV/atom
# Mass density = 8.5 g/cm3
# Crystal system = cubic
# N(E_F) = 9.2 states/eV per cell
# Spin magnetization = 0.00 μB per formula unit
# E_form = -10.6 eV/f.u.
data_Tm3Ge13Rh4
_chemical_formula_sum 'Tm6 Ge26 Rh8'
_symmetry_space_group_name_H-M 'P 1'
_symmetry_Int_Tables_number 1
_cell_length_a 8.985
_cell_length_b 8.985
_cell_length_c 8.985
_cell_angle_alpha 90.00
_cell_angle_beta 90.00
_cell_angle_gamma 90.00
loop_
_symmetry_equiv_pos_as_xyz
'x,y,z'
loop_
_atom_site_label
_atom_site_type_symbol
_atom_site_fract_x
_atom_site_fract_y
_atom_site_fract_z
_atom_site_occupancy
Ge1 Ge 0.500 0.188 0.647 1
Ge2 Ge 0.353 0.500 0.812 1
Ge3 Ge 0.188 0.353 0.500 1
Ge4 Ge 0.812 0.353 0.500 1
Rh1 Rh 0.250 0.750 0.250 1
Ge5 Ge 0.000 0.147 0.312 1
Ge6 Ge 0.353 0.500 0.188 1
Ge7 Ge 0.000 0.147 0.688 1
Ge8 Ge 0.312 0.000 0.853 1
Ge9 Ge 0.000 0.853 0.688 1
Rh2 Rh 0.750 0.750 0.250 1
Rh3 Rh 0.250 0.250 0.250 1
Ge10 Ge 0.000 0.000 0.000 1
Ge11 Ge 0.647 0.500 0.188 1
Ge12 Ge 0.853 0.688 0.000 1
Ge13 Ge 0.688 0.000 0.147 1
Ge14 Ge 0.312 0.000 0.147 1
Ge15 Ge 0.500 0.812 0.353 1
Ge16 Ge 0.647 0.500 0.812 1
Rh4 Rh 0.750 0.250 0.750 1
Tm1 Tm 0.750 0.000 0.500 1
Rh5 Rh 0.750 0.250 0.250 1
Ge17 Ge 0.500 0.188 0.353 1
Tm2 Tm 0.000 0.500 0.250 1
Rh6 Rh 0.250 0.250 0.750 1
Ge18 Ge 0.500 0.500 0.500 1
Tm3 Tm 0.500 0.250 0.000 1
Ge19 Ge 0.853 0.312 0.000 1
Ge20 Ge 0.188 0.647 0.500 1
Tm4 Tm 0.000 0.500 0.750 1
Rh7 Rh 0.750 0.750 0.750 1
Ge21 Ge 0.147 0.688 0.000 1
Tm5 Tm 0.500 0.750 0.000 1
Ge22 Ge 0.688 0.000 0.853 1
Ge23 Ge 0.147 0.312 0.000 1
Ge24 Ge 0.812 0.647 0.500 1
Tm6 Tm 0.250 0.000 0.500 1
Ge25 Ge 0.500 0.812 0.647 1
Ge26 Ge 0.000 0.853 0.312 1
Rh8 Rh 0.250 0.750 0.750 1

=====

# SrBiSeBr2 (GGA-PBE, relaxed)
# Uncorrected energy = -3.21 eV/atom
# Mass density = 4.7 g/cm3
# Crystal system = tetragonal
# N(E_F) = 1.5 states/eV per cell
# Spin magnetization = 0.00 μB per formula unit
# Raw formation energy = -0.736 eV per atom
data_SrBiSeBr2
_chemical_formula_sum 'Sr1 Bi1 Se1 Br2'
_symmetry_space_group_name_H-M 'P 1'
_symmetry_Int_Tables_number 1
_cell_length_a 5.712
_cell_length_b 5.712
_cell_length_c 5.806
_cell_angle_alpha 90.00
_cell_angle_beta 90.00
_cell_angle_gamma 90.00
loop_
_symmetry_equiv_pos_as_xyz
'x,y,z'
loop_
_atom_site_label
_atom_site_type_symbol
_atom_site_fract_x
_atom_site_fract_y
_atom_site_fract_z
_atom_site_occupancy
Br1 Br 0.000 0.500 0.000 1
Sr1 Sr 0.500 0.500 0.500 1
Bi1 Bi 0.000 0.000 0.000 1
Br2 Br 0.500 0.000 0.000 1
Se1 Se 0.000 0.000 0.500 1

=====

# Cs2TaOsF6 (GGA-PBE, relaxed)
# Uncorrected energy = -5.46 eV/atom
# Mass density = 6.0 g/cm3
# Crystal system = tetragonal
# N(E_F) = 5.5 states/eV per cell
# Spin magnetization = 1.00 μB per formula unit
# Raw formation energy = -1.857 eV per atom
data_Cs2TaOsF6
_chemical_formula_sum 'Cs2 Ta1 Os1 F6'
_symmetry_space_group_name_H-M 'P 1'
_symmetry_Int_Tables_number 1
_cell_length_a 5.873
_cell_length_b 5.873
_cell_length_c 7.345
_cell_angle_alpha 66.43
_cell_angle_beta 66.43
_cell_angle_gamma 90.00
loop_
_symmetry_equiv_pos_as_xyz
'x,y,z'
loop_
_atom_site_label
_atom_site_type_symbol
_atom_site_fract_x
_atom_site_fract_y
_atom_site_fract_z
_atom_site_occupancy
F1 F 0.746 0.254 0.000 1
Cs1 Cs 0.250 0.750 0.500 1
Os1 Os 0.000 0.000 0.000 1
F2 F 0.254 0.746 0.000 1
Ta1 Ta 0.500 0.500 0.000 1
F3 F 0.254 0.254 0.000 1
Cs2 Cs 0.750 0.250 0.500 1
F4 F 0.667 0.667 0.665 1
F5 F 0.333 0.333 0.335 1
F6 F 0.746 0.746 0.000 1

=====

# IrOs2Rh2 (GGA-PBE, relaxed)
# Uncorrected energy = -9.16 eV/atom
# Mass density = 18.1 g/cm3
# Crystal system = orthorhombic
# N(E_F) = 12.3 states/eV per cell
# Spin magnetization = 0.00 μB per formula unit
# E_form = 0.2 eV/f.u.
data_IrOs2Rh2
_chemical_formula_sum 'Ir2 Os4 Rh4'
_symmetry_space_group_name_H-M 'P 1'
_symmetry_Int_Tables_number 1
_cell_length_a 3.861
_cell_length_b 3.856
_cell_length_c 9.809
_cell_angle_alpha 90.00
_cell_angle_beta 101.35
_cell_angle_gamma 90.00
loop_
_symmetry_equiv_pos_as_xyz
'x,y,z'
loop_
_atom_site_label
_atom_site_type_symbol
_atom_site_fract_x
_atom_site_fract_y
_atom_site_fract_z
_atom_site_occupancy
Ir1 Ir 0.650 0.750 0.301 1
Os1 Os 0.151 0.250 0.303 1
Os2 Os 0.849 0.750 0.697 1
Rh1 Rh 0.449 0.750 0.899 1
Rh2 Rh 0.052 0.750 0.104 1
Ir2 Ir 0.350 0.250 0.699 1
Rh3 Rh 0.948 0.250 0.896 1
Os3 Os 0.250 0.750 0.500 1
Os4 Os 0.750 0.250 0.500 1
Rh4 Rh 0.551 0.250 0.101 1

=====

# Tm3PuIn (GGA-PBE, relaxed)
# Uncorrected energy = -6.20 eV/atom
# Mass density = 10.4 g/cm3
# Crystal system = monoclinic
# N(E_F) = 21.0 states/eV per cell
# Spin magnetization = 6.05 μB per formula unit
# E_form = -0.5 eV/f.u.
data_Tm3PuIn
_chemical_formula_sum 'Tm6 Pu2 In2'
_symmetry_space_group_name_H-M 'P 1'
_symmetry_Int_Tables_number 1
_cell_length_a 5.167
_cell_length_b 6.617
_cell_length_c 8.521
_cell_angle_alpha 85.52
_cell_angle_beta 107.65
_cell_angle_gamma 90.00
loop_
_symmetry_equiv_pos_as_xyz
'x,y,z'
loop_
_atom_site_label
_atom_site_type_symbol
_atom_site_fract_x
_atom_site_fract_y
_atom_site_fract_z
_atom_site_occupancy
Tm1 Tm 0.004 0.248 0.009 1
Tm2 Tm 0.793 0.304 0.586 1
Tm3 Tm 0.613 0.004 0.226 1
Pu1 Pu 0.589 0.520 0.179 1
Tm4 Tm 0.387 0.996 0.774 1
In1 In 0.804 0.786 0.608 1
Tm5 Tm 0.207 0.696 0.414 1
In2 In 0.196 0.214 0.392 1
Tm6 Tm 0.996 0.752 0.991 1
Pu2 Pu 0.411 0.480 0.821 1

=====

# Ba3BePt (GGA-PBE, relaxed)
# Uncorrected energy = -3.01 eV/atom
# Mass density = 4.4 g/cm3
# Crystal system = cubic
# N(E_F) = 2.9 states/eV per cell
# Spin magnetization = 0.00 μB per formula unit
# E_form = 0.5 eV/f.u.
data_Ba3BePt
_chemical_formula_sum 'Ba3 Be1 Pt1'
_symmetry_space_group_name_H-M 'P 1'
_symmetry_Int_Tables_number 1
_cell_length_a 6.137
_cell_length_b 6.137
_cell_length_c 6.137
_cell_angle_alpha 90.00
_cell_angle_beta 90.00
_cell_angle_gamma 90.00
loop_
_symmetry_equiv_pos_as_xyz
'x,y,z'
loop_
_atom_site_label
_atom_site_type_symbol
_atom_site_fract_x
_atom_site_fract_y
_atom_site_fract_z
_atom_site_occupancy
Be1 Be 0.500 0.500 0.500 1
Ba1 Ba 0.000 0.500 0.000 1
Ba2 Ba 0.500 0.000 0.000 1
Ba3 Ba 0.000 0.000 0.500 1
Pt1 Pt 0.000 0.000 0.000 1

=====

# TaBeSb2 (GGA-PBE, relaxed)
# Uncorrected energy = -5.43 eV/atom
# Mass density = 9.1 g/cm3
# Crystal system = monoclinic
# N(E_F) = 2.0 states/eV per cell
# Spin magnetization = 0.00 μB per formula unit
# Raw formation energy = 0.524 eV per atom
data_TaBeSb2
_chemical_formula_sum 'Ta1 Be1 Sb2'
_symmetry_space_group_name_H-M 'P 1'
_symmetry_Int_Tables_number 1
_cell_length_a 5.056
_cell_length_b 5.056
_cell_length_c 5.202
_cell_angle_alpha 87.53
_cell_angle_beta 87.53
_cell_angle_gamma 36.74
loop_
_symmetry_equiv_pos_as_xyz
'x,y,z'
loop_
_atom_site_label
_atom_site_type_symbol
_atom_site_fract_x
_atom_site_fract_y
_atom_site_fract_z
_atom_site_occupancy
Be1 Be 0.250 0.250 0.250 1
Ta1 Ta 0.750 0.750 0.750 1
Sb1 Sb 0.025 0.025 0.995 1
Sb2 Sb 0.475 0.475 0.505 1

=====

# Ba2Sr2Ac3 (GGA-PBE, relaxed)
# Uncorrected energy = -2.71 eV/atom
# Mass density = 5.2 g/cm3
# Crystal system = orthorhombic
# N(E_F) = 11.3 states/eV per cell
# Spin magnetization = 0.00 μB per formula unit
# E_form = 0.6 eV/f.u.
data_Ba2Sr2Ac3
_chemical_formula_sum 'Ba2 Sr2 Ac3'
_symmetry_space_group_name_H-M 'P 1'
_symmetry_Int_Tables_number 1
_cell_length_a 4.056
_cell_length_b 6.115
_cell_length_c 14.851
_cell_angle_alpha 78.12
_cell_angle_beta 90.00
_cell_angle_gamma 90.00
loop_
_symmetry_equiv_pos_as_xyz
'x,y,z'
loop_
_atom_site_label
_atom_site_type_symbol
_atom_site_fract_x
_atom_site_fract_y
_atom_site_fract_z
_atom_site_occupancy
Ac1 Ac 0.000 0.000 0.000 1
Ba1 Ba 0.000 0.140 0.720 1
Ac2 Ac 0.500 0.435 0.129 1
Ac3 Ac 0.500 0.565 0.871 1
Sr1 Sr 0.500 0.290 0.419 1
Sr2 Sr 0.500 0.710 0.581 1
Ba2 Ba 0.000 0.860 0.280 1

=====

# SmGdCoGe (GGA-PBE, relaxed)
# Uncorrected energy = -7.97 eV/atom
# Mass density = 8.3 g/cm3
# Crystal system = cubic
# N(E_F) = 2.3 states/eV per cell
# Spin magnetization = 7.85 μB per formula unit
# E_form = -1.4 eV/f.u.
data_SmGdCoGe
_chemical_formula_sum 'Sm1 Gd1 Co1 Ge1'
_symmetry_space_group_name_H-M 'P 1'
_symmetry_Int_Tables_number 1
_cell_length_a 4.995
_cell_length_b 4.995
_cell_length_c 4.995
_cell_angle_alpha 60.00
_cell_angle_beta 60.00
_cell_angle_gamma 60.00
loop_
_symmetry_equiv_pos_as_xyz
'x,y,z'
loop_
_atom_site_label
_atom_site_type_symbol
_atom_site_fract_x
_atom_site_fract_y
_atom_site_fract_z
_atom_site_occupancy
Gd1 Gd 0.000 0.000 0.000 1
Co1 Co 0.750 0.750 0.750 1
Sm1 Sm 0.500 0.500 0.500 1
Ge1 Ge 0.250 0.250 0.250 1

=====

# SrPmP (GGA-PBE, relaxed)
# Uncorrected energy = -4.65 eV/atom
# Mass density = 5.0 g/cm3
# Crystal system = cubic
# N(E_F) = 3.2 states/eV per cell
# Spin magnetization = 0.00 μB per formula unit
# E_form = -2.1 eV/f.u.
data_SrPmP
_chemical_formula_sum 'Sr1 Pm1 P1'
_symmetry_space_group_name_H-M 'P 1'
_symmetry_Int_Tables_number 1
_cell_length_a 4.970
_cell_length_b 4.970
_cell_length_c 4.970
_cell_angle_alpha 60.00
_cell_angle_beta 60.00
_cell_angle_gamma 60.00
loop_
_symmetry_equiv_pos_as_xyz
'x,y,z'
loop_
_atom_site_label
_atom_site_type_symbol
_atom_site_fract_x
_atom_site_fract_y
_atom_site_fract_z
_atom_site_occupancy
Pm1 Pm 0.000 0.000 0.000 1
Sr1 Sr 0.500 0.500 0.500 1
P1 P 0.250 0.250 0.250 1